Entry 1:
Computed, not measured: a relaxed structure of BaAlNi2 at the GGA-PBE level of DFT.

Uncorrected energy (eV/f.u.): -17.2
D(E_F) (states/eV per cell): 1.889
Space group: Pmmm, No. 47
DFT formation energy (eV per formula unit): 0.0
Crystal system: orthorhombic

Geometry as CIF:
```
data_BaAlNi2
_chemical_formula_sum 'Ba1 Al1 Ni2'
_symmetry_space_group_name_H-M 'P 1'
_symmetry_Int_Tables_number 1
_cell_length_a 3.2029
_cell_length_b 3.2526
_cell_length_c 7.0989
_cell_angle_alpha 90.00
_cell_angle_beta 90.00
_cell_angle_gamma 90.00
loop_
_symmetry_equiv_pos_as_xyz
'x,y,z'
loop_
_atom_site_label
_atom_site_fract_x
_atom_site_fract_y
_atom_site_fract_z
Ba1 0.0000 0.0000 0.0000
Al1 0.0000 0.0000 0.5000
Ni1 0.5000 0.5000 0.3319
Ni2 0.5000 0.5000 0.6681
```

=====

Entry 2:
Computed, not measured: a relaxed structure of BaAlNi2 at the GGA-PBE level of DFT.

Uncorrected energy (eV/f.u.): -15.8
D(E_F) (states/eV per cell): 1.653
Space group: C2/m, No. 12
DFT formation energy (eV per formula unit): 1.4
Crystal system: monoclinic

Geometry as CIF:
```
data_BaAlNi2
_chemical_formula_sum 'Ba1 Al1 Ni2'
_symmetry_space_group_name_H-M 'P 1'
_symmetry_Int_Tables_number 1
_cell_length_a 4.8931
_cell_length_b 4.8931
_cell_length_c 3.1525
_cell_angle_alpha 90.18
_cell_angle_beta 90.18
_cell_angle_gamma 89.98
loop_
_symmetry_equiv_pos_as_xyz
'x,y,z'
loop_
_atom_site_label
_atom_site_fract_x
_atom_site_fract_y
_atom_site_fract_z
Ba1 0.0000 0.0000 0.0000
Al1 0.5000 0.5000 0.0000
Ni1 0.0000 0.5000 0.5000
Ni2 0.5000 0.0000 0.5000
```

=====

Entry 3:
Computed, not measured: a relaxed structure of Ba2AlNi2 at the GGA-PBE level of DFT.

Uncorrected energy (eV/f.u.): -18.7
D(E_F) (states/eV per cell): 7.175
Space group: P4/mbm, No. 127
DFT formation energy (eV per formula unit): 0.5
Crystal system: tetragonal

Geometry as CIF:
```
data_Ba2AlNi2
_chemical_formula_sum 'Ba4 Al2 Ni4'
_symmetry_space_group_name_H-M 'P 1'
_symmetry_Int_Tables_number 1
_cell_length_a 7.3222
_cell_length_b 7.3222
_cell_length_c 4.7174
_cell_angle_alpha 90.00
_cell_angle_beta 90.00
_cell_angle_gamma 90.00
loop_
_symmetry_equiv_pos_as_xyz
'x,y,z'
loop_
_atom_site_label
_atom_site_fract_x
_atom_site_fract_y
_atom_site_fract_z
Ba1 0.1827 0.3173 0.0000
Ba2 0.3173 0.8173 0.0000
Ba3 0.6827 0.1827 0.0000
Ba4 0.8173 0.6827 0.0000
Al1 0.0000 0.0000 0.5000
Al2 0.5000 0.5000 0.5000
Ni1 0.1170 0.6170 0.5000
Ni2 0.3830 0.1170 0.5000
Ni3 0.6170 0.8830 0.5000
Ni4 0.8830 0.3830 0.5000
```

=====

Entry 4:
Computed, not measured: a relaxed structure of BaAl2Ni at the GGA-PBE level of DFT.

Uncorrected energy (eV/f.u.): -15.6
D(E_F) (states/eV per cell): 2.890
Space group: P2/m, No. 10
DFT formation energy (eV per formula unit): -0.4
Crystal system: monoclinic

Geometry as CIF:
```
data_BaAl2Ni
_chemical_formula_sum 'Ba1 Al2 Ni1'
_symmetry_space_group_name_H-M 'P 1'
_symmetry_Int_Tables_number 1
_cell_length_a 4.8389
_cell_length_b 4.1757
_cell_length_c 5.3344
_cell_angle_alpha 90.00
_cell_angle_beta 111.08
_cell_angle_gamma 90.00
loop_
_symmetry_equiv_pos_as_xyz
'x,y,z'
loop_
_atom_site_label
_atom_site_fract_x
_atom_site_fract_y
_atom_site_fract_z
Ba1 0.0000 0.0000 0.0000
Al1 0.3065 0.5000 0.6182
Al2 0.6935 0.5000 0.3818
Ni1 0.5000 0.0000 0.5000
```

=====

Entry 5:
Computed, not measured: a relaxed structure of BaAl2Ni at the GGA-PBE level of DFT.

Uncorrected energy (eV/f.u.): -14.2
D(E_F) (states/eV per cell): 3.529
Space group: I-4m2, No. 119
DFT formation energy (eV per formula unit): 1.0
Crystal system: tetragonal

Geometry as CIF:
```
data_BaAl2Ni
_chemical_formula_sum 'Ba1 Al2 Ni1'
_symmetry_space_group_name_H-M 'P 1'
_symmetry_Int_Tables_number 1
_cell_length_a 4.9647
_cell_length_b 4.9647
_cell_length_c 4.9647
_cell_angle_alpha 120.12
_cell_angle_beta 120.12
_cell_angle_gamma 89.80
loop_
_symmetry_equiv_pos_as_xyz
'x,y,z'
loop_
_atom_site_label
_atom_site_fract_x
_atom_site_fract_y
_atom_site_fract_z
Ba1 0.0000 0.0000 0.0000
Al1 0.5000 0.5000 0.0000
Al2 0.7500 0.2500 0.5000
Ni1 0.2500 0.7500 0.5000
```

=====

Entry 6:
Computed, not measured: a relaxed structure of BaAlNi2 at the GGA-PBE level of DFT.

Uncorrected energy (eV/f.u.): -16.8
D(E_F) (states/eV per cell): 1.585
Space group: Immm, No. 71
DFT formation energy (eV per formula unit): 0.5
Crystal system: orthorhombic

Geometry as CIF:
```
data_BaAlNi2
_chemical_formula_sum 'Ba1 Al1 Ni2'
_symmetry_space_group_name_H-M 'P 1'
_symmetry_Int_Tables_number 1
_cell_length_a 5.1047
_cell_length_b 5.1047
_cell_length_c 5.1047
_cell_angle_alpha 131.45
_cell_angle_beta 110.17
_cell_angle_gamma 89.61
loop_
_symmetry_equiv_pos_as_xyz
'x,y,z'
loop_
_atom_site_label
_atom_site_fract_x
_atom_site_fract_y
_atom_site_fract_z
Ba1 0.0000 0.0000 0.0000
Al1 0.5000 0.5000 0.0000
Ni1 0.3348 0.8348 0.5000
Ni2 0.6652 0.1652 0.5000
```

=====

Entry 7:
Computed, not measured: a relaxed structure of BaAl2Ni at the GGA-PBE level of DFT.

Uncorrected energy (eV/f.u.): -14.0
D(E_F) (states/eV per cell): 1.315
Space group: Fm-3m, No. 225
DFT formation energy (eV per formula unit): 1.2
Crystal system: cubic

Geometry as CIF:
```
data_BaAl2Ni
_chemical_formula_sum 'Ba1 Al2 Ni1'
_symmetry_space_group_name_H-M 'P 1'
_symmetry_Int_Tables_number 1
_cell_length_a 4.9593
_cell_length_b 4.9593
_cell_length_c 4.9593
_cell_angle_alpha 60.00
_cell_angle_beta 60.00
_cell_angle_gamma 60.00
loop_
_symmetry_equiv_pos_as_xyz
'x,y,z'
loop_
_atom_site_label
_atom_site_fract_x
_atom_site_fract_y
_atom_site_fract_z
Ba1 0.0000 0.0000 0.0000
Al1 0.2500 0.2500 0.2500
Al2 0.7500 0.7500 0.7500
Ni1 0.5000 0.5000 0.5000
```

=====

Entry 8:
Computed, not measured: a relaxed structure of BaAl3Ni at the GGA-PBE level of DFT.

Uncorrected energy (eV/f.u.): -8.9
D(E_F) (states/eV per cell): 11.226
Space group: Pm-3m, No. 221
DFT formation energy (eV per formula unit): 10.0
Crystal system: cubic

Geometry as CIF:
```
data_BaAl3Ni
_chemical_formula_sum 'Ba1 Al3 Ni1'
_symmetry_space_group_name_H-M 'P 1'
_symmetry_Int_Tables_number 1
_cell_length_a 5.8645
_cell_length_b 5.8645
_cell_length_c 5.8645
_cell_angle_alpha 90.00
_cell_angle_beta 90.00
_cell_angle_gamma 90.00
loop_
_symmetry_equiv_pos_as_xyz
'x,y,z'
loop_
_atom_site_label
_atom_site_fract_x
_atom_site_fract_y
_atom_site_fract_z
Ba1 0.0000 0.0000 0.0000
Al1 0.0000 0.0000 0.5000
Al2 0.0000 0.5000 0.0000
Al3 0.5000 0.0000 0.0000
Ni1 0.5000 0.5000 0.5000
```